Entry 1:
A plane-wave DFT calculation with PBE was carried out for crystalline Pr4Zn2Hg at its relaxed geometry.

Summary:
Formation enthalpy at 0 K, eV per atom: -0.215
Fermi-level density of states, states/eV per cell: 20.048
Magnetization, μB per cell: 0.01
V, Å³ per atom: 29.55
Total energy, eV/atom: -3.353

a = 7.5333 Å, b = 10.5361 Å, c = 5.2129 Å
α = 90.00°, β = 90.00°, γ = 90.00°
Closest atoms and distances in Å follow each position.
Space group Cmmm (No. 65)
Inequivalent atoms, fractional coordinates:
Pr (0.2389, 0.0000, 0.0000) [4 per cell]  4 Zn 3.23-3.25, 2 Hg 3.27, 1 Pr 3.60
Pr (0.2500, 0.2500, 0.5000) [4 per cell]  4 Zn 3.22, 2 Hg 3.24
Zn (0.0000, 0.2549, 0.0000) [4 per cell]  8 Pr 3.22-3.25
Hg (0.0000, 0.5000, 0.5000) [2 per cell]  8 Pr 3.24-3.27

Entry 2:
A plane-wave DFT calculation with PBE was carried out for crystalline Al2FeBr at its relaxed geometry.

Summary:
Formation energy without anion corrections, eV/atom: 0.10
Fermi-level density of states, states/eV per cell: 6.192
Offset from the most stable computed form, meV per atom: 175
Magnetization, μB per cell: 2.25
V, Å³ per atom: 20.51
Total energy, eV/atom: -4.308

a = 8.7542 Å, b = 3.1738 Å, c = 5.9965 Å
α = 90.00°, β = 99.97°, γ = 90.00°
Closest atoms and distances in Å follow each position.
Space group Cm (No. 8)
Inequivalent atoms, fractional coordinates:
Al (0.0000, 0.0000, 0.0000) [2 per cell]  2 Fe 2.34, 1 Br 2.46
Al (0.2445, 0.5000, 0.2380) [2 per cell]  3 Fe 2.48-2.49
Fe (0.4649, 0.0000, 0.2744) [2 per cell]  5 Al 2.34-2.49
Br (0.0742, 0.0000, 0.6219) [2 per cell]  1 Al 2.46, 2 Fe 2.66